Entry 1:
This record from Alexandria describes crystalline ScTcRu at its relaxed geometry. The functional is GGA-PBE.

abc: 6.063 6.063 6.063
angles: 90.00 90.00 90.00
Space group F-43m (No. 216)
One atom of each set of equivalent atoms:
1 Sc 0.000 0.000 0.000 x4
2 Tc 0.000 0.000 0.500 x4
3 Ru 0.250 0.250 0.750 x4

For the energy relative to the lowest polymorph listed for this composition, the calculation gives 1.33 eV/f.u. Its formation energy is 0.172 eV per atom. As for the calculated total energy: -8.486 eV/atom.

Entry 2:
This record from Alexandria describes crystalline TaBiB2 at its relaxed geometry. The functional is GGA-PBE.

abc: 5.382 5.382 10.380
angles: 90.00 90.00 90.00
Space group I-42d (No. 122)
One atom of each set of equivalent atoms:
1 Ta 0.000 0.000 0.000 x4
2 Bi 0.000 0.000 0.500 x4
3 B 0.219 0.250 0.125 x8

Its formation energy is 0.907 eV per atom. As for the calculated total energy: -6.365 eV/atom.

Entry 3:
This record from Alexandria describes crystalline Sr4FeRu at its relaxed geometry. The functional is GGA-PBE.

abc: 9.316 9.316 9.316
angles: 90.00 90.00 90.00
Space group F-43m (No. 216)
One atom of each set of equivalent atoms:
1 Sr 0.125 0.125 0.125 x16
2 Fe 0.250 0.250 0.750 x4
3 Ru 0.000 0.000 0.500 x4

Its formation energy is 1.424 eV per atom. As for the calculated total energy: -2.654 eV/atom.

Entry 4:
This record from Alexandria describes crystalline In3Ni at its relaxed geometry. The functional is GGA-PBE.

abc: 4.958 4.958 4.958
angles: 90.00 90.00 90.00
Space group Pm-3m (No. 221)
One atom of each set of equivalent atoms:
1 In 0.000 0.000 0.500 x3
2 Ni 0.000 0.000 0.000 x1

Its formation energy is 0.040 eV per atom. As for the calculated total energy: -3.459 eV/atom.